Entry 1:
# DySnAuS3 (PBE-GGA, relaxed)
# VASP energy   -5.023 eV per atom
# Energy relative to the lowest polymorph listed for this composition   32 meV per atom
data_DySnAuS3
_symmetry_space_group_name_H-M 'P 1'
_symmetry_Int_Tables_number 1
_symmetry_space_group_name_Hall 'P 1'
_cell_length_a 11.5382
_cell_length_b 4.0032
_cell_length_c 12.7836
_cell_angle_alpha 90.00
_cell_angle_beta 90.00
_cell_angle_gamma 90.00
loop_
_atom_site_label
_atom_site_type_symbol
_atom_site_fract_x
_atom_site_fract_y
_atom_site_fract_z
Au1 Au 0.7053 0.2500 0.8871
S1 S 0.4749 0.7500 0.1985
Sn1 Sn 0.1576 0.7500 0.4300
Sn2 Sn 0.3424 0.2500 0.9300
S2 S 0.7427 0.2500 0.1853
S3 S 0.5251 0.2500 0.8015
Dy1 Dy 0.9782 0.2500 0.1529
Au2 Au 0.2053 0.2500 0.6129
Au3 Au 0.7947 0.7500 0.3871
Sn3 Sn 0.8424 0.2500 0.5700
Au4 Au 0.2947 0.7500 0.1129
S4 S 0.0251 0.2500 0.6985
Sn4 Sn 0.6576 0.7500 0.0700
S5 S 0.2573 0.7500 0.8147
S6 S 0.7573 0.7500 0.6853
Dy2 Dy 0.0218 0.7500 0.8471
S7 S 0.1022 0.7500 0.0535
Dy3 Dy 0.5218 0.7500 0.6529
S8 S 0.2427 0.2500 0.3147
S9 S 0.8978 0.2500 0.9465
Dy4 Dy 0.4782 0.2500 0.3471
S10 S 0.3978 0.2500 0.5535
S11 S 0.9749 0.7500 0.3015
S12 S 0.6022 0.7500 0.4465

Entry 2:
# TlGaPd (PBE-GGA, relaxed)
# VASP energy   -3.361 eV per atom
data_TlGaPd
_symmetry_space_group_name_H-M 'P 1'
_symmetry_Int_Tables_number 1
_symmetry_space_group_name_Hall 'P 1'
_cell_length_a 4.5987
_cell_length_b 4.5987
_cell_length_c 4.5987
_cell_angle_alpha 60.00
_cell_angle_beta 60.00
_cell_angle_gamma 60.00
loop_
_atom_site_label
_atom_site_type_symbol
_atom_site_fract_x
_atom_site_fract_y
_atom_site_fract_z
Tl1 Tl 0.0000 0.0000 0.0000
Ga1 Ga 0.2500 0.2500 0.2500
Pd1 Pd 0.7500 0.7500 0.7500

Entry 3:
# Nb4ZnCoC2 (PBE-GGA, relaxed)
# VASP energy   -8.660 eV per atom
data_Nb4ZnCoC2
_symmetry_space_group_name_H-M 'P 1'
_symmetry_Int_Tables_number 1
_symmetry_space_group_name_Hall 'P 1'
_cell_length_a 3.1220
_cell_length_b 3.1220
_cell_length_c 13.3502
_cell_angle_alpha 90.00
_cell_angle_beta 90.00
_cell_angle_gamma 120.00
loop_
_atom_site_label
_atom_site_type_symbol
_atom_site_fract_x
_atom_site_fract_y
_atom_site_fract_z
Co1 Co 0.3333 0.6667 0.5000
Nb1 Nb 0.6667 0.3333 0.6467
Nb2 Nb 0.6667 0.3333 0.3533
Nb3 Nb 0.3333 0.6667 0.1672
C1 C 0.0000 0.0000 0.7415
Nb4 Nb 0.3333 0.6667 0.8328
Zn1 Zn 0.6667 0.3333 0.0000
C2 C 0.0000 0.0000 0.2585

Entry 4:
# AlFeTcPd (PBE-GGA, relaxed)
# VASP energy   -6.946 eV per atom
# Energy relative to the lowest polymorph listed for this composition   0 meV per atom
data_AlFeTcPd
_symmetry_space_group_name_H-M 'P 1'
_symmetry_Int_Tables_number 1
_symmetry_space_group_name_Hall 'P 1'
_cell_length_a 4.3023
_cell_length_b 4.3023
_cell_length_c 4.3023
_cell_angle_alpha 60.00
_cell_angle_beta 60.00
_cell_angle_gamma 60.00
loop_
_atom_site_label
_atom_site_type_symbol
_atom_site_fract_x
_atom_site_fract_y
_atom_site_fract_z
Fe1 Fe 0.7500 0.7500 0.7500
Al1 Al 0.0000 0.0000 0.0000
Pd1 Pd 0.2500 0.2500 0.2500
Tc1 Tc 0.5000 0.5000 0.5000

Entry 5:
# Sm4Se3I4 (PBE-GGA, relaxed)
# VASP energy   -4.626 eV per atom
data_Sm4Se3I4
_symmetry_space_group_name_H-M 'P 1'
_symmetry_Int_Tables_number 1
_symmetry_space_group_name_Hall 'P 1'
_cell_length_a 4.3244
_cell_length_b 8.8215
_cell_length_c 9.3292
_cell_angle_alpha 90.00
_cell_angle_beta 90.00
_cell_angle_gamma 90.00
loop_
_atom_site_label
_atom_site_type_symbol
_atom_site_fract_x
_atom_site_fract_y
_atom_site_fract_z
I1 I 0.0000 0.0000 0.6304
Se1 Se 0.0000 0.2002 0.0088
Sm1 Sm 0.5000 0.7688 0.8087
Sm2 Sm 0.0000 0.0000 0.2423
Se2 Se 0.5000 0.5000 0.9745
I2 I 0.5000 0.2621 0.3523
Se3 Se 0.0000 0.7998 0.0088
Sm3 Sm 0.5000 0.2312 0.8087
Sm4 Sm 0.0000 0.5000 0.1625
I3 I 0.5000 0.7379 0.3523
I4 I 0.0000 0.5000 0.6507

Entry 6:
# Y4Lu2C3S3 (PBE-GGA, relaxed)
# VASP energy   -7.524 eV per atom
data_Y4Lu2C3S3
_symmetry_space_group_name_H-M 'P 1'
_symmetry_Int_Tables_number 1
_symmetry_space_group_name_Hall 'P 1'
_cell_length_a 6.3701
_cell_length_b 6.3701
_cell_length_c 13.3135
_cell_angle_alpha 103.85
_cell_angle_beta 103.85
_cell_angle_gamma 60.00
loop_
_atom_site_label
_atom_site_type_symbol
_atom_site_fract_x
_atom_site_fract_y
_atom_site_fract_z
Y1 Y 0.1317 0.2985 0.3953
Y2 Y 0.7981 0.9654 0.3953
Y3 Y 0.9654 0.7981 0.8953
C1 C 0.0000 0.5000 0.0000
S1 S 0.5838 0.7412 0.7500
Lu1 Lu 0.3675 0.5340 0.1016
Y4 Y 0.2019 0.0346 0.6047
S2 S 0.4162 0.2588 0.2500
C2 C 0.3367 0.8267 0.0000
Y5 Y 0.8683 0.7015 0.6047
Lu2 Lu 0.6325 0.4660 0.8984
C3 C 0.1733 0.6633 0.5000
Y6 Y 0.7015 0.8683 0.1047
S3 S 0.9086 0.0914 0.7500
C4 C 0.6633 0.1733 0.0000
C5 C 0.5000 0.0000 0.5000
S4 S 0.0914 0.9086 0.2500
Lu3 Lu 0.4660 0.6325 0.3984
S5 S 0.2588 0.4162 0.7500
Y7 Y 0.2985 0.1317 0.8953
C6 C 0.8267 0.3367 0.5000
S6 S 0.7412 0.5838 0.2500
Lu4 Lu 0.5340 0.3675 0.6016
Y8 Y 0.0346 0.2019 0.1047

Entry 7:
# Y3Cu2Si4 (PBE-GGA, relaxed)
# VASP energy   -6.127 eV per atom
data_Y3Cu2Si4
_symmetry_space_group_name_H-M 'P 1'
_symmetry_Int_Tables_number 1
_symmetry_space_group_name_Hall 'P 1'
_cell_length_a 5.6691
_cell_length_b 5.6691
_cell_length_c 8.0140
_cell_angle_alpha 100.56
_cell_angle_beta 100.56
_cell_angle_gamma 41.87
loop_
_atom_site_label
_atom_site_type_symbol
_atom_site_fract_x
_atom_site_fract_y
_atom_site_fract_z
Si1 Si 0.9407 0.9407 0.1117
Si2 Si 0.2825 0.2825 0.4413
Si3 Si 0.7175 0.7175 0.5587
Cu1 Cu 0.6122 0.6122 0.7823
Y1 Y 0.0000 0.0000 0.5000
Y2 Y 0.3378 0.3378 0.8314
Y3 Y 0.6622 0.6622 0.1686
Si4 Si 0.0593 0.0593 0.8883
Cu2 Cu 0.3878 0.3878 0.2177

Entry 8:
# HoBiPt (PBE-GGA, relaxed)
# VASP energy   -5.784 eV per atom
data_HoBiPt
_symmetry_space_group_name_H-M 'P 1'
_symmetry_Int_Tables_number 1
_symmetry_space_group_name_Hall 'P 1'
_cell_length_a 4.6766
_cell_length_b 4.6766
_cell_length_c 7.6112
_cell_angle_alpha 90.00
_cell_angle_beta 90.00
_cell_angle_gamma 120.00
loop_
_atom_site_label
_atom_site_type_symbol
_atom_site_fract_x
_atom_site_fract_y
_atom_site_fract_z
Pt1 Pt 0.3333 0.6667 0.0736
Bi1 Bi 0.6667 0.3333 0.9552
Bi2 Bi 0.3333 0.6667 0.4552
Ho1 Ho 0.0000 0.0000 0.2212
Ho2 Ho 0.0000 0.0000 0.7212
Pt2 Pt 0.6667 0.3333 0.5736